Entry 1:
# VFe2H

Crystalline VFe2H at its relaxed geometry (PBE-GGA, Alexandria via LeMat-Bulk).

## Properties
The calculated total energy comes out at -7.06 eV per atom. As for the size of the total moment: 11.71 Bohr magnetons per cell. The energy above the most stable polymorph in this dataset is 0.334 eV/atom.

```
data_VFe2H
_symmetry_space_group_name_H-M 'R -3 m'
_symmetry_Int_Tables_number 166
_symmetry_space_group_name_Hall '-R 3 2"'
_cell_length_a 2.5729
_cell_length_b 2.5729
_cell_length_c 20.6570
_cell_angle_alpha 90.00
_cell_angle_beta 90.00
_cell_angle_gamma 120.00
loop_
_atom_site_label
_atom_site_type_symbol
_atom_site_fract_x
_atom_site_fract_y
_atom_site_fract_z
V1 V 0.0000 0.0000 0.0000
Fe1 Fe 0.0000 0.0000 0.1119
H1 H 0.0000 0.0000 0.5000
```

=====

Entry 2:
# NpBe17Os

Crystalline NpBe17Os at its relaxed geometry (PBE-GGA, Alexandria via LeMat-Bulk).

## Properties
The calculated total energy comes out at -4.59 eV per atom. The calculation puts the energy of formation at 30 kJ/mol of formula units. As for the size of the total moment: 11.37 Bohr magnetons per cell.

```
data_NpBe17Os
_symmetry_space_group_name_H-M 'R 3 m'
_symmetry_Int_Tables_number 160
_symmetry_space_group_name_Hall 'R 3 -2"'
_cell_length_a 7.4771
_cell_length_b 7.4771
_cell_length_c 10.9260
_cell_angle_alpha 90.00
_cell_angle_beta 90.00
_cell_angle_gamma 120.00
loop_
_atom_site_label
_atom_site_type_symbol
_atom_site_fract_x
_atom_site_fract_y
_atom_site_fract_z
Np1 Np 0.0000 0.0000 0.0000
Be1 Be 0.0000 0.0000 0.5611
Be2 Be 0.0000 0.0000 0.7528
Be3 Be 0.0442 0.3691 0.3268
Be4 Be 0.1693 0.3385 0.4949
Be5 Be 0.1729 0.3458 0.8387
Be6 Be 0.1747 0.3494 0.1441
Os1 Os 0.0000 0.0000 0.3412
```

=====

Entry 3:
# Ca2NdPt2

Crystalline Ca2NdPt2 at its relaxed geometry (PBE-GGA, Alexandria via LeMat-Bulk).

## Properties
The calculated total energy comes out at -5.02 eV per atom. The calculation puts the energy of formation at -410 kJ/mol of formula units. As for the size of the total moment: 0.00 Bohr magnetons per cell. The energy above the most stable polymorph in this dataset is 0.049 eV/atom.

```
data_Ca2NdPt2
_symmetry_space_group_name_H-M 'P 1 21/m 1'
_symmetry_Int_Tables_number 11
_cell_length_a 5.7141
_cell_length_b 4.4852
_cell_length_c 10.8496
_cell_angle_alpha 90.00
_cell_angle_beta 95.96
_cell_angle_gamma 90.00
loop_
_symmetry_equiv_pos_as_xyz
'x,y,z'
'-x,-y,-z'
'-x,y+1/2,-z'
'x,-y+1/2,z'
loop_
_atom_site_label
_atom_site_type_symbol
_atom_site_fract_x
_atom_site_fract_y
_atom_site_fract_z
Ca1 Ca 0.1096 0.2500 0.3804
Ca2 Ca 0.2487 0.2500 0.0367
Nd1 Nd 0.3958 0.2500 0.7095
Pt1 Pt 0.2356 0.7500 0.8559
Pt2 Pt 0.3572 0.7500 0.5262
```

=====

Entry 4:
# Cd3TeW

Crystalline Cd3TeW at its relaxed geometry (PBE-GGA, Alexandria via LeMat-Bulk).

## Properties
The calculation puts the energy relative to the elements, uncorrected at 1200 meV/atom. The calculated total energy comes out at -2.57 eV per atom. As for the size of the total moment: 2.78 Bohr magnetons per cell. The energy above the most stable polymorph in this dataset is 0.000 eV/atom.

```
data_Cd3TeW
_symmetry_space_group_name_H-M 'P m -3 m'
_symmetry_Int_Tables_number 221
_symmetry_space_group_name_Hall '-P 4 2 3'
_cell_length_a 5.4219
_cell_length_b 5.4219
_cell_length_c 5.4219
_cell_angle_alpha 90.00
_cell_angle_beta 90.00
_cell_angle_gamma 90.00
loop_
_atom_site_label
_atom_site_type_symbol
_atom_site_fract_x
_atom_site_fract_y
_atom_site_fract_z
Cd1 Cd 0.0000 0.0000 0.5000
Te1 Te 0.5000 0.5000 0.5000
W1 W 0.0000 0.0000 0.0000
```

=====

Entry 5:
# DyTiAl4

Crystalline DyTiAl4 at its relaxed geometry (PBE-GGA, Alexandria via LeMat-Bulk).

## Properties
The calculated total energy comes out at -4.96 eV per atom. The calculation puts the energy of formation at -223 kJ/mol of formula units. As for the size of the total moment: 0.01 Bohr magnetons per cell.

```
data_DyTiAl4
_symmetry_space_group_name_H-M 'F -4 3 m'
_symmetry_Int_Tables_number 216
_symmetry_space_group_name_Hall 'F -4 2 3'
_cell_length_a 7.5862
_cell_length_b 7.5862
_cell_length_c 7.5862
_cell_angle_alpha 90.00
_cell_angle_beta 90.00
_cell_angle_gamma 90.00
loop_
_atom_site_label
_atom_site_type_symbol
_atom_site_fract_x
_atom_site_fract_y
_atom_site_fract_z
Dy1 Dy 0.0000 0.0000 0.0000
Ti1 Ti 0.2500 0.2500 0.7500
Al1 Al 0.1246 0.1246 0.3754
```

=====

Entry 6:
# CrPBr2

Crystalline CrPBr2 at its relaxed geometry (PBE-GGA, Alexandria via LeMat-Bulk).

## Properties
The calculation puts the energy relative to the elements, uncorrected at 551 meV/atom. The calculated total energy comes out at -4.04 eV per atom. As for the size of the total moment: 4.74 Bohr magnetons per cell. The energy above the most stable polymorph in this dataset is 0.930 eV/atom.

```
data_CrPBr2
_symmetry_space_group_name_H-M 'P 4/m m m'
_symmetry_Int_Tables_number 123
_symmetry_space_group_name_Hall '-P 4 2'
_cell_length_a 3.2071
_cell_length_b 3.2071
_cell_length_c 11.0318
_cell_angle_alpha 90.00
_cell_angle_beta 90.00
_cell_angle_gamma 90.00
loop_
_atom_site_label
_atom_site_type_symbol
_atom_site_fract_x
_atom_site_fract_y
_atom_site_fract_z
Cr1 Cr 0.0000 0.0000 0.0000
P1 P 0.0000 0.0000 0.5000
Br1 Br 0.5000 0.5000 0.1489
```

=====

Entry 7:
# Ce3Nd4UN8

Crystalline Ce3Nd4UN8 at its relaxed geometry (PBE-GGA, Alexandria via LeMat-Bulk).

## Properties
The calculation puts the energy relative to the elements, uncorrected at -1455 meV/atom. The calculated total energy comes out at -8.63 eV per atom. As for the size of the total moment: 1.70 Bohr magnetons per cell.

```
data_Ce3Nd4UN8
_symmetry_space_group_name_H-M 'R -3 m'
_symmetry_Int_Tables_number 166
_symmetry_space_group_name_Hall '-R 3 2"'
_cell_length_a 7.1644
_cell_length_b 7.1644
_cell_length_c 17.5566
_cell_angle_alpha 90.00
_cell_angle_beta 90.00
_cell_angle_gamma 120.00
loop_
_atom_site_label
_atom_site_type_symbol
_atom_site_fract_x
_atom_site_fract_y
_atom_site_fract_z
Ce1 Ce 0.0000 0.5000 0.0000
Nd1 Nd 0.0000 0.0000 0.5000
Nd2 Nd 0.0000 0.5000 0.5000
U1 U 0.0000 0.0000 0.0000
N1 N 0.0000 0.0000 0.2565
N2 N 0.0220 0.5110 0.7401
```

=====

Entry 8:
# Sr6UO8

Crystalline Sr6UO8 at its relaxed geometry (PBE-GGA, Alexandria via LeMat-Bulk).

## Properties
The calculation puts the energy relative to the elements, uncorrected at -2836 meV/atom. The calculated total energy comes out at -6.91 eV per atom. As for the size of the total moment: 7.92 Bohr magnetons per cell.

```
data_Sr6UO8
_symmetry_space_group_name_H-M 'F m -3 m'
_symmetry_Int_Tables_number 225
_symmetry_space_group_name_Hall '-F 4 2 3'
_cell_length_a 10.3577
_cell_length_b 10.3577
_cell_length_c 10.3577
_cell_angle_alpha 90.00
_cell_angle_beta 90.00
_cell_angle_gamma 90.00
loop_
_atom_site_label
_atom_site_type_symbol
_atom_site_fract_x
_atom_site_fract_y
_atom_site_fract_z
Sr1 Sr 0.0000 0.2500 0.2500
U1 U 0.0000 0.0000 0.0000
O1 O 0.0000 0.0000 0.2169
O2 O 0.2500 0.2500 0.2500
```